The following is a PBE-GGA calculation of a relaxed Pm2SbF crystal, from Alexandria.

**E**: -5.62 eV/atom
**Offset from the most stable computed form**: 0.0 meV per atom
**Volume**: 27.9 A^3/atom
**Formation energy (no corrections)**: -1.75 eV/atom
**Magnetization**: 0.0 μB/cell

```
Pm2SbF
1.0
7.717 0.000 0.000
0.000 7.522 0.000
-1.339 0.000 7.685
Pm Sb F
8 4 4
Direct
0.050 0.170 0.334
0.050 0.330 0.834
0.395 0.748 0.481
0.395 0.752 0.981
0.605 0.248 0.019
0.605 0.252 0.519
0.950 0.670 0.166
0.950 0.830 0.666
0.332 0.075 0.718
0.332 0.425 0.218
0.668 0.575 0.782
0.668 0.925 0.282
0.089 0.648 0.906
0.089 0.852 0.406
0.911 0.148 0.594
0.911 0.352 0.094
```